{"formula": "HoBeAs2", "functional": "PBE", "state": "relaxed", "magnetic_moment_mub_per_fu": 0.0, "dos_at_fermi_per_ev_cell": 1.6, "e_form_ev_per_atom": -0.2704, "e_tot_ev_per_atom": -4.6711, "cell": [[-0.164, -4.127, 0.188], [3.168, -2.261, -1.395], [4.093, -1.946, 6.324]], "species": ["Be", "As", "As", "Ho"], "fractional_positions": [[0.000, 0.000, 0.000], [0.094, 0.094, 0.719], [0.906, 0.906, 0.281], [0.500, 0.500, 0.500]]}

***

{"formula": "Sm6YEr3Sc2", "functional": "PBE", "state": "relaxed", "magnetic_moment_mub_per_fu": 0.0, "dos_at_fermi_per_ev_cell": 14.0, "e_form_ev_per_atom": 0.0347, "e_tot_ev_per_atom": -5.0595, "cell": [[6.139, 0.001, 0.006], [-3.068, 5.318, 0.006], [-1.032, -1.787, 11.394]], "species": ["Sm", "Sm", "Sm", "Sm", "Sm", "Sm", "Y", "Er", "Er", "Er", "Sc", "Sc"], "fractional_positions": [[0.918, 0.581, 0.754], [0.745, 0.745, 0.246], [0.082, 0.419, 0.246], [0.581, 0.918, 0.754], [0.255, 0.255, 0.754], [0.419, 0.082, 0.246], [0.000, 0.000, 0.000], [0.167, 0.833, 0.500], [0.833, 0.167, 0.500], [0.500, 0.500, 0.500], [0.333, 0.667, 0.000], [0.667, 0.333, 0.000]]}

***

{"formula": "Tb8PmHo5", "functional": "PBE", "state": "relaxed", "magnetic_moment_mub_per_fu": 0.0, "dos_at_fermi_per_ev_cell": 21.5, "e_form_ev_per_atom": 0.2484, "e_tot_ev_per_atom": -4.3717, "cell": [[8.057, 0.000, -2.492], [-4.152, 6.714, -2.969], [0.246, 0.000, 8.430]], "species": ["Tb", "Tb", "Tb", "Tb", "Tb", "Tb", "Tb", "Tb", "Pm", "Ho", "Ho", "Ho", "Ho", "Ho"], "fractional_positions": [[0.165, 0.738, 0.079], [0.921, 0.086, 0.659], [0.723, 0.253, 0.328], [0.672, 0.394, 0.925], [0.531, 0.606, 0.277], [0.573, 0.914, 0.835], [0.341, 0.262, 0.427], [0.075, 0.747, 0.469], [0.250, 0.500, 0.750], [0.039, 0.320, 0.135], [0.865, 0.903, 0.185], [0.815, 0.680, 0.719], [0.500, 0.000, 0.500], [0.281, 0.097, 0.961]]}

***

{"formula": "NaGa2Sn", "functional": "PBE", "state": "relaxed", "magnetic_moment_mub_per_fu": 0.0, "dos_at_fermi_per_ev_cell": 1.9, "e_form_ev_per_atom": -0.0341, "e_tot_ev_per_atom": -2.8780, "cell": [[4.468, 0.000, 0.000], [0.000, 4.449, 0.000], [0.000, 0.000, 4.449]], "species": ["Na", "Sn", "Ga", "Ga"], "fractional_positions": [[0.500, 0.500, 0.500], [0.500, 0.000, 0.000], [0.000, 0.000, 0.500], [0.000, 0.500, 0.000]]}

***

{"formula": "MgPaTlPb", "functional": "PBE", "state": "relaxed", "magnetic_moment_mub_per_fu": 1.2, "dos_at_fermi_per_ev_cell": 4.3, "e_form_ev_per_atom": 0.1638, "e_tot_ev_per_atom": -4.1275, "cell": [[-2.836, 0.570, 4.449], [2.374, -0.400, 4.729], [0.641, 4.316, 3.021]], "species": ["Pb", "Tl", "Pa", "Mg"], "fractional_positions": [[0.750, 0.750, 0.750], [0.250, 0.250, 0.250], [0.500, 0.500, 0.500], [0.000, 0.000, 0.000]]}

***

{"formula": "Mo", "functional": "PBE", "state": "relaxed", "magnetic_moment_mub_per_fu": 0.0, "dos_at_fermi_per_ev_cell": 12.6, "e_form_ev_per_atom": 0.3560, "e_tot_ev_per_atom": -10.4751, "de_polymorph_mev_per_atom": 356, "cell": [[-6.699, 2.056, 12.297], [1.815, -1.588, 1.254], [2.926, 4.065, 0.914]], "species": ["Mo", "Mo", "Mo", "Mo", "Mo", "Mo", "Mo", "Mo", "Mo", "Mo", "Mo", "Mo"], "fractional_positions": [[0.832, 0.460, 0.667], [0.668, 0.540, 0.167], [0.168, 0.460, 0.667], [0.332, 0.540, 0.167], [0.000, 0.695, 0.422], [0.500, 0.305, 0.922], [0.840, 0.130, 0.167], [0.660, 0.870, 0.667], [0.160, 0.130, 0.167], [0.340, 0.870, 0.667], [0.000, 0.866, 0.914], [0.500, 0.134, 0.414]]}